No. 1
Material: Nd2Al4GaAu3
Method: DFT, PBE
State: relaxed

The value obtained for the formation energy is -0.707 eV/atom.

The space group is P-4m2 (No. 115) and the conventional cell measures 4.400, 4.400 and 10.545 Å, with angles of 90.00, 90.00 and 90.00 degrees. The inequivalent atoms are Nd at (0.000, 0.500, 0.247), Al at (0.000, 0.000, 0.500), Al at (0.000, 0.500, 0.866), Al at (0.500, 0.500, 0.500), Ga at (0.500, 0.500, 0.000), Au at (0.000, 0.000, 0.000) and Au at (0.000, 0.500, 0.629).

=====

No. 2
Material: CuSbPd2
Method: DFT, PBE
State: relaxed

The calculation puts the formation energy from raw total energies at -25 kJ/mol of formula units.

The space group is R3m (No. 160, hexagonal axes) and the conventional cell measures 3.2228, 3.2228 and 23.1937 Å, with angles of 90.00, 90.00 and 120.00 degrees. The inequivalent atoms are Cu at (0.0000, 0.0000, 0.0000), Sb at (0.0000, 0.0000, 0.8328), Pd at (0.0000, 0.0000, 0.2541) and Pd at (0.0000, 0.0000, 0.4119).

=====

No. 3
Material: Tm8CuRu5
Method: DFT, PBE
State: relaxed

The value obtained for the formation energy is -0.274 eV/atom.

The space group is I-4 (No. 82) and the conventional cell measures 8.455, 8.455 and 8.412 Å, with angles of 90.00, 90.00 and 90.00 degrees. The inequivalent atoms are Tm at (0.063, 0.179, 0.200), Tm at (0.074, 0.316, 0.577), Cu at (0.000, 0.500, 0.250), Ru at (0.000, 0.000, 0.500) and Ru at (0.143, 0.250, 0.893).

=====

No. 4
Material: Ta2CrPb
Method: DFT, PBE
State: relaxed

The value obtained for the formation energy is 0.429 eV/atom.

The space group is Cm (No. 8) and the conventional cell measures 10.036, 3.376 and 4.663 Å, with angles of 90.00, 114.81 and 90.00 degrees. The inequivalent atoms are Ta at (0.000, 0.000, 0.000), Ta at (0.239, 0.000, 0.750), Cr at (0.215, 0.500, 0.241) and Pb at (0.463, 0.000, 0.464).

=====

No. 5
Material: ZrRe2Ru
Method: DFT, PBE
State: relaxed

The value obtained for the energy above the most stable polymorph in this dataset is 129.8 meV per atom. The value obtained for the formation energy is 0.101 eV/atom.

The space group is P2/m (No. 10) and the conventional cell measures 2.770, 4.566 and 5.206 Å, with angles of 90.00, 101.49 and 90.00 degrees. The inequivalent atoms are Zr at (0.000, 0.000, 0.000), Re at (0.226, 0.500, 0.743) and Ru at (0.500, 0.000, 0.500).

=====

No. 6
Material: Cu3HgS3
Method: DFT, PBE
State: relaxed

The calculation puts the formation energy from raw total energies at -64 kJ/mol of formula units.

The space group is R-3 (No. 148, hexagonal axes) and the conventional cell measures 6.5485, 6.5485 and 21.3597 Å, with angles of 90.00, 90.00 and 120.00 degrees. The inequivalent atoms are Cu at (0.0023, 0.3269, 0.1296), Hg at (0.0000, 0.0000, 0.3332) and S at (0.0029, 0.3407, 0.9075).

=====

No. 7
Material: V6Re2Tc
Method: DFT, PBE
State: relaxed

The value obtained for the energy above the most stable polymorph in this dataset is 772.4 meV per atom. The value obtained for the formation energy is 0.488 eV/atom.

The space group is C2/m (No. 12) and the conventional cell measures 13.003, 5.876 and 4.141 Å, with angles of 90.00, 108.37 and 90.00 degrees. The inequivalent atoms are V at (0.000, 0.249, 0.000), V at (0.166, 0.249, 0.666), Re at (0.167, 0.500, 0.166) and Tc at (0.000, 0.000, 0.500).

=====

No. 8
Material: GeTePd2
Method: DFT, PBE
State: relaxed

The value obtained for the energy above the most stable polymorph in this dataset is 83.4 meV per atom. The calculation puts the formation energy from raw total energies at -85 kJ/mol of formula units.

The space group is I-42d (No. 122) and the conventional cell measures 4.608, 4.608 and 15.966 Å, with angles of 90.00, 90.00 and 90.00 degrees. The inequivalent atoms are Ge at (0.000, 0.000, 0.000), Te at (0.000, 0.000, 0.500) and Pd at (0.203, 0.250, 0.125).

=====

No. 9
Material: Ca3Al9Ir2
Method: DFT, PBE
State: relaxed

The value obtained for the formation energy is -0.474 eV/atom.

The space group is Immm (No. 71) and the conventional cell measures 4.308, 9.958 and 12.450 Å, with angles of 90.00, 90.00 and 90.00 degrees. The inequivalent atoms are Ca at (0.000, 0.000, 0.000), Ca at (0.000, 0.000, 0.298), Al at (0.000, 0.285, 0.124), Al at (0.000, 0.360, 0.348), Al at (0.000, 0.500, 0.000) and Ir at (0.000, 0.185, 0.500).

=====

No. 10
Material: Cs5Rb3Br8
Method: DFT, PBE
State: relaxed

The calculation puts the formation energy from raw total energies at -2729 kJ/mol of formula units.

The space group is R-3m (No. 166, hexagonal axes) and the conventional cell measures 10.2149, 10.2149 and 25.0997 Å, with angles of 90.00, 90.00 and 120.00 degrees. The inequivalent atoms are Cs at (0.0000, 0.0000, 0.0000), Cs at (0.0000, 0.0000, 0.5000), Cs at (0.0000, 0.5000, 0.0000), Rb at (0.0000, 0.5000, 0.5000), Br at (0.0000, 0.0000, 0.2456) and Br at (0.0064, 0.5032, 0.7532).

=====

No. 11
Material: Ca2LaAl
Method: DFT, PBE
State: relaxed

The value obtained for the formation energy is 0.006 eV/atom.

The space group is I4/mmm (No. 139) and the conventional cell measures 4.889, 4.889 and 10.667 Å, with angles of 90.00, 90.00 and 90.00 degrees. The inequivalent atoms are Ca at (0.000, 0.500, 0.250), La at (0.000, 0.000, 0.000) and Al at (0.000, 0.000, 0.500).

=====

No. 12
Material: In2TcSb
Method: DFT, PBE
State: relaxed

The calculation puts the formation energy from raw total energies at 145 kJ/mol of formula units.

The space group is P4/mmm (No. 123) and the conventional cell measures 3.512, 3.512 and 7.011 Å, with angles of 90.00, 90.00 and 90.00 degrees. The inequivalent atoms are In at (0.000, 0.000, 0.205), Tc at (0.500, 0.500, 0.000) and Sb at (0.500, 0.500, 0.500).

=====

| no. | magnetization (μB/atom) |
| --- | --- |
| 1 | 0.00 |
| 2 | 0.00 |
| 3 | 0.00 |
| 4 | 0.00 |
| 5 | 0.00 |
| 6 | 0.00 |
| 7 | 0.00 |
| 8 | 0.00 |
| 9 | 0.00 |
| 10 | 0.00 |
| 11 | 0.00 |
| 12 | 0.00 |